First-principles (PBE) data for an optimized crystal structure of NdGeRhN, as listed in Alexandria via LeMat-Bulk.

Values from the calculation:
E_form (uncorrected)   -0.90 eV/atom

Cell lengths 3.9988, 3.9988, 8.5801 Å; angles 90.00, 90.00, 90.00 degrees
Fractional coordinates of all 8 atoms:
1 Nd 0.2500 0.2500 0.1522
2 Nd 0.7500 0.7500 0.8478
3 Ge 0.2500 0.2500 0.6598
4 Ge 0.7500 0.7500 0.3402
5 Rh 0.2500 0.7500 0.5000
6 Rh 0.7500 0.2500 0.5000
7 N 0.2500 0.2500 0.8810
8 N 0.7500 0.7500 0.1190